Material: InRe2Cl
Method: DFT, PBE
State: optimized geometry

a = 4.7515 Å, b = 4.7515 Å, c = 4.7515 Å
α = 125.56°, β = 125.56°, γ = 80.61°
Element x y z (fractional)
Cl (0.5000, 0.5000, 0.0000)
Re (0.0000, 0.0000, 0.0000)
Re (0.2500, 0.7500, 0.5000)
In (0.7500, 0.2500, 0.5000)

- V (Å³ per cell) = 68
- formation energy (no corrections) (eV/atom) = 1.116
- density (g/cm3) = 12.678
- E (eV per atom) = -6.2548
- excess energy over the best structure of this formula in the dataset (eV/f.u.) = 4.04

---

Material: InReCl2
Method: DFT, PBE
State: optimized geometry

a = 3.1001 Å, b = 3.1170 Å, c = 9.6882 Å
α = 90.00°, β = 90.00°, γ = 90.00°
Each line ends with the local moment (μB).
Element x y z (fractional)
Cl (0.5000, 0.5000, 0.2995)  -0.01
Cl (0.0000, 0.0000, 0.9586)  0.01
Re (0.5000, 0.5000, 0.5266)  -0.46
In (0.0000, 0.0000, 0.7152)  0.01

- V (Å³ per cell) = 94
- formation energy (no corrections) (eV/atom) = 0.203
- density (g/cm3) = 6.597
- E (eV per atom) = -4.5169
- excess energy over the best structure of this formula in the dataset (eV/f.u.) = 0.90

---

Material: InReSb2Cl
Method: DFT, PBE
State: optimized geometry

a = 5.5762 Å, b = 4.2910 Å, c = 5.5762 Å
α = 90.00°, β = 90.00°, γ = 90.00°
Each line ends with the local moment (μB).
Element x y z (fractional)
Sb (0.0000, 0.0000, 0.5000)  -0.01
Sb (0.5000, 0.0000, 0.0000)  0.01
Cl (0.0000, 0.0000, 0.0000)  0.01
Re (0.0000, 0.5000, 0.0000)  0.54
In (0.5000, 0.5000, 0.5000)  0.00

- V (Å³ per cell) = 133
- formation energy (no corrections) (eV/atom) = 1.270
- density (g/cm3) = 7.219
- E (eV per atom) = -3.7861

---

Material: TaInReCl2
Method: DFT, PBE
State: optimized geometry

a = 4.6371 Å, b = 5.8672 Å, c = 4.6371 Å
α = 90.00°, β = 90.00°, γ = 90.00°
Element x y z (fractional)
Re (0.0000, 0.5000, 0.0000)
Cl (0.5000, 0.0000, 0.0000)
Cl (0.0000, 0.0000, 0.5000)
Ta (0.5000, 0.5000, 0.5000)
In (0.0000, 0.0000, 0.0000)

- V (Å³ per cell) = 126
- formation energy (no corrections) (eV/atom) = 1.829
- density (g/cm3) = 7.277
- E (eV per atom) = -4.3173

---

Material: YInRe2Cl
Method: DFT, PBE
State: optimized geometry

a = 5.0788 Å, b = 6.2207 Å, c = 5.0788 Å
α = 90.00°, β = 90.00°, γ = 90.00°
Each line ends with the local moment (μB).
Element x y z (fractional)
Re (0.0000, 0.0000, 0.5000)  1.89
Re (0.5000, 0.0000, 0.0000)  2.26
In (0.0000, 0.5000, 0.0000)  -0.04
Cl (0.5000, 0.5000, 0.5000)  0.11
Y (0.0000, 0.0000, 0.0000)  -0.18

- V (Å³ per cell) = 160
- formation energy (no corrections) (eV/atom) = 2.202
- density (g/cm3) = 6.329
- E (eV per atom) = -4.9872

---

Material: InRhCl
Method: DFT, PBE
State: optimized geometry

a = 6.0114 Å, b = 6.0113 Å, c = 3.2748 Å
α = 74.20°, β = 74.19°, γ = 31.61°
Element x y z (fractional)
Rh (0.6804, 0.6804, 0.3196)
In (0.3041, 0.3041, 0.6959)
Cl (0.0155, 0.0155, 0.9845)

- V (Å³ per cell) = 59
- formation energy (no corrections) (eV/atom) = -0.088
- density (g/cm3) = 7.067
- E (eV per atom) = -4.0673
- excess energy over the best structure of this formula in the dataset (eV/f.u.) = 0.63

---

Material: InRhCl
Method: DFT, PBE
State: optimized geometry

a = 4.4435 Å, b = 4.4435 Å, c = 3.2439 Å
α = 90.00°, β = 90.00°, γ = 120.00°
Element x y z (fractional)
Cl (0.0000, 0.0000, 0.8330)
In (0.6667, 0.3333, 0.3325)
Rh (0.3333, 0.6667, 0.8344)

- V (Å³ per cell) = 55
- formation energy (no corrections) (eV/atom) = -0.008
- density (g/cm3) = 7.579
- E (eV per atom) = -3.9865
- excess energy over the best structure of this formula in the dataset (eV/f.u.) = 0.87

---

Material: InRhCl
Method: DFT, PBE
State: optimized geometry

a = 3.3891 Å, b = 3.1934 Å, c = 6.1783 Å
α = 104.95°, β = 74.09°, γ = 89.99°
Element x y z (fractional)
Rh (0.0953, 0.8075, 0.9466)
In (0.4737, 0.4291, 0.1900)
Cl (0.2712, 0.1319, 0.5928)

- V (Å³ per cell) = 62
- formation energy (no corrections) (eV/atom) = -0.257
- density (g/cm3) = 6.787
- E (eV per atom) = -4.2360
- excess energy over the best structure of this formula in the dataset (eV/f.u.) = 0.12

---

Material: InRhCl6
Method: DFT, PBE
State: optimized geometry

a = 6.1840 Å, b = 6.6328 Å, c = 6.6328 Å
α = 124.42°, β = 98.35°, γ = 98.35°
Element x y z (fractional)
Cl (0.7345, 0.5932, 0.8732)
Cl (0.2655, 0.4068, 0.1268)
Cl (0.2655, 0.1268, 0.4068)
Cl (0.7345, 0.8732, 0.5932)
Cl (0.7367, 0.2619, 0.2619)
Cl (0.2633, 0.7381, 0.7381)
Rh (0.5000, 0.5000, 0.5000)
In (0.0000, 0.0000, 0.0000)

- V (Å³ per cell) = 213
- formation energy (no corrections) (eV/atom) = -0.756
- density (g/cm3) = 3.352
- E (eV per atom) = -3.4022

---

Material: InRh2Cl
Method: DFT, PBE
State: optimized geometry

a = 5.6364 Å, b = 5.6364 Å, c = 5.6364 Å
α = 148.70°, β = 132.69°, γ = 57.82°
Element x y z (fractional)
Cl (0.5147, 0.5147, 0.0000)
Rh (0.7477, 0.2477, 0.5000)
Rh (0.9899, 0.9899, 0.0000)
In (0.2477, 0.7477, 0.5000)

- V (Å³ per cell) = 68
- formation energy (no corrections) (eV/atom) = 0.217
- density (g/cm3) = 8.713
- E (eV per atom) = -4.6050
- excess energy over the best structure of this formula in the dataset (eV/f.u.) = 0.98

---

Material: InRh2Cl
Method: DFT, PBE
State: optimized geometry

a = 5.5464 Å, b = 5.5464 Å, c = 5.5464 Å
α = 140.22°, β = 140.22°, γ = 57.52°
Element x y z (fractional)
In (0.7500, 0.2500, 0.5000)
Rh (0.0000, 0.0000, 0.0000)
Rh (0.2500, 0.7500, 0.5000)
Cl (0.5000, 0.5000, 0.0000)

- V (Å³ per cell) = 69
- formation energy (no corrections) (eV/atom) = 0.302
- density (g/cm3) = 8.539
- E (eV per atom) = -4.5202
- excess energy over the best structure of this formula in the dataset (eV/f.u.) = 1.32

---

Material: InRhCl
Method: DFT, PBE
State: optimized geometry

a = 3.8086 Å, b = 3.7710 Å, c = 4.7570 Å
α = 90.01°, β = 90.00°, γ = 90.00°
Element x y z (fractional)
In (0.0702, 0.5461, 0.0763)
Rh (0.5749, 0.0460, 0.0766)
Cl (0.4657, 0.0470, 0.5766)

- V (Å³ per cell) = 68
- formation energy (no corrections) (eV/atom) = -0.298
- density (g/cm3) = 6.153
- E (eV per atom) = -4.2767
- excess energy over the best structure of this formula in the dataset (eV/f.u.) = 0.00